No. 1
The following is a PBE calculation of crystalline KSi at its relaxed geometry, from the Alexandria database.

```
KSi
1.0
3.494 0.000 0.000
0.000 3.494 0.000
0.000 0.000 10.179
K Si
2 2
Direct
0.250 0.250 0.216
0.750 0.750 0.784
0.250 0.250 0.543
0.750 0.750 0.457
```

**E_form (uncorrected)**: 0.268 eV per atom
**Size of the total moment**: 0.0 Bohr magnetons per cell
**Symmetry**: P4/nmm (129)
**Energy relative to the lowest polymorph listed for this composition**: 7.86 kcal/mol of atoms

No. 2
The following is a PBE calculation of crystalline SrScV3 at its relaxed geometry, from the Alexandria database.

```
SrScV3
1.0
4.967 0.000 0.000
0.000 4.967 0.000
0.000 0.000 4.967
Sr Sc V
1 1 3
Direct
0.000 0.000 0.000
0.500 0.500 0.500
0.000 0.500 0.500
0.500 0.000 0.500
0.500 0.500 0.000
```

**Energy relative to the elements**: 1349 meV per atom
**Size of the total moment**: 8.0 Bohr magnetons per cell
**Symmetry**: Pm-3m (221)
**Energy relative to the lowest polymorph listed for this composition**: 0.00 kcal/mol of atoms